Record 1
A relaxed CrSi2Ir crystal, computed with GGA-PBEsol.

Output
As for the symmetry: R-3m. The value obtained for the uncorrected energy is -32.60 eV per formula unit. The formation energy (no corrections) comes out at -0.259 eV/atom. The mass density comes out at 9.9 g/cm³. For the density of states at the Fermi level, the calculation gives 7.6 states/eV/cell.

Cell lengths 2.736, 2.736, 23.400 Å; angles 90.00, 90.00, 120.00 degrees
Element x y z (fractional)
1 Cr 0.000 0.000 0.000
2 Cr 0.333 0.667 0.667
3 Cr 0.667 0.333 0.333
4 Si 0.000 0.000 0.252
5 Si 0.000 0.000 0.748
6 Si 0.333 0.667 0.414
7 Si 0.333 0.667 0.919
8 Si 0.667 0.333 0.081
9 Si 0.667 0.333 0.586
10 Ir 0.000 0.000 0.500
11 Ir 0.333 0.667 0.167
12 Ir 0.667 0.333 0.833

Record 2
A relaxed Cu2ReSe crystal, computed with GGA-PBEsol.

Output
As for the symmetry: P4/mmm. The value obtained for the uncorrected energy is -24.07 eV per formula unit. The formation energy (no corrections) comes out at 0.444 eV/atom. The mass density comes out at 11.2 g/cm³. For the density of states at the Fermi level, the calculation gives 2.2 states/eV/cell.

Cell lengths 2.651, 2.651, 8.254 Å; angles 90.00, 90.00, 90.00 degrees
Element x y z (fractional)
1 Cu 0.000 0.000 0.228
2 Cu 0.000 0.000 0.772
3 Re 0.500 0.500 0.000
4 Se 0.500 0.500 0.500

Record 3
A relaxed YTl2 crystal, computed with GGA-PBEsol.

Output
As for the symmetry: Pnma. The value obtained for the uncorrected energy is -13.04 eV per formula unit. The mass density comes out at 10.6 g/cm³. The value obtained for the energy of formation is -0.3185 eV per atom. For the density of states at the Fermi level, the calculation gives 7.5 states/eV/cell.

Cell lengths 6.503, 4.604, 10.368 Å; angles 90.00, 90.00, 90.00 degrees
Element x y z (fractional)
1 Y 0.155 0.250 0.100
2 Y 0.345 0.750 0.600
3 Y 0.655 0.250 0.400
4 Y 0.845 0.750 0.900
5 Tl 0.097 0.250 0.765
6 Tl 0.142 0.250 0.421
7 Tl 0.358 0.750 0.921
8 Tl 0.403 0.750 0.265
9 Tl 0.597 0.250 0.735
10 Tl 0.642 0.250 0.079
11 Tl 0.858 0.750 0.579
12 Tl 0.903 0.750 0.235

Record 4
A relaxed MgTeAs2 crystal, computed with GGA-PBEsol.

Output
As for the symmetry: R-3m. The value obtained for the uncorrected energy is -14.86 eV per formula unit. The formation energy (no corrections) comes out at 0.149 eV/atom. Its energy above the most stable polymorph in this dataset is 0.3506 eV/atom. The mass density comes out at 5.6 g/cm³. For the density of states at the Fermi level, the calculation gives 7.0 states/eV/cell.

Cell lengths 3.059, 3.059, 33.136 Å; angles 90.00, 90.00, 120.00 degrees
Element x y z (fractional)
1 Mg 0.000 0.000 0.000
2 Mg 0.333 0.667 0.667
3 Mg 0.667 0.333 0.333
4 Te 0.000 0.000 0.500
5 Te 0.333 0.667 0.167
6 Te 0.667 0.333 0.833
7 As 0.000 0.000 0.267
8 As 0.000 0.000 0.733
9 As 0.333 0.667 0.400
10 As 0.333 0.667 0.934
11 As 0.667 0.333 0.066
12 As 0.667 0.333 0.600

Record 5
A relaxed CaRe3H9S4O6 crystal, computed with GGA-PBEsol.

Output
As for the symmetry: P-3. The value obtained for the uncorrected energy is -145.68 eV per formula unit. The mass density comes out at 4.6 g/cm³. For the density of states at the Fermi level, the calculation gives 0.0 states/eV/cell.

Cell lengths 8.968, 8.968, 8.639 Å; angles 90.00, 90.00, 120.00 degrees
Element x y z (fractional)
1 Ca 0.333 0.667 0.168
2 Ca 0.667 0.333 0.832
3 Re 0.057 0.869 0.378
4 Re 0.131 0.188 0.378
5 Re 0.188 0.057 0.622
6 Re 0.812 0.943 0.378
7 Re 0.869 0.812 0.622
8 Re 0.943 0.131 0.622
9 H 0.013 0.648 0.169
10 H 0.172 0.375 0.045
11 H 0.203 0.828 0.045
12 H 0.208 0.764 0.874
13 H 0.236 0.444 0.874
14 H 0.352 0.365 0.169
15 H 0.365 0.013 0.831
16 H 0.375 0.203 0.955
17 H 0.444 0.208 0.126
18 H 0.556 0.792 0.874
19 H 0.625 0.797 0.045
20 H 0.635 0.987 0.169
21 H 0.648 0.635 0.831
22 H 0.764 0.556 0.126
23 H 0.792 0.236 0.126
24 H 0.797 0.172 0.955
25 H 0.828 0.625 0.955
26 H 0.987 0.352 0.831
27 S 0.000 0.000 0.164
28 S 0.000 0.000 0.836
29 S 0.105 0.756 0.616
30 S 0.244 0.350 0.616
31 S 0.350 0.105 0.384
32 S 0.650 0.895 0.616
33 S 0.756 0.650 0.384
34 S 0.895 0.244 0.384
35 O 0.121 0.725 0.227
36 O 0.166 0.449 0.960
37 O 0.275 0.395 0.227
38 O 0.283 0.834 0.960
39 O 0.395 0.121 0.773
40 O 0.449 0.283 0.040
41 O 0.551 0.717 0.960
42 O 0.605 0.879 0.227
43 O 0.717 0.166 0.040
44 O 0.725 0.605 0.773
45 O 0.834 0.551 0.040
46 O 0.879 0.275 0.773

Record 6
A relaxed Pr3CuSnS7 crystal, computed with GGA-PBEsol.

Output
As for the symmetry: P6_3. The value obtained for the uncorrected energy is -72.70 eV per formula unit. The formation energy (no corrections) comes out at -1.489 eV/atom. The mass density comes out at 5.2 g/cm³. For the density of states at the Fermi level, the calculation gives 0.0 states/eV/cell.

Cell lengths 10.138, 10.138, 5.937 Å; angles 90.00, 90.00, 120.00 degrees
Element x y z (fractional)
1 Pr 0.134 0.777 0.000
2 Pr 0.223 0.356 0.000
3 Pr 0.356 0.134 0.500
4 Pr 0.644 0.866 0.000
5 Pr 0.777 0.644 0.500
6 Pr 0.866 0.223 0.500
7 Cu 0.000 0.000 0.468
8 Cu 0.000 0.000 0.968
9 Sn 0.333 0.667 0.575
10 Sn 0.667 0.333 0.075
11 S 0.087 0.513 0.745
12 S 0.096 0.843 0.479
13 S 0.157 0.253 0.479
14 S 0.253 0.096 0.979
15 S 0.333 0.667 0.179
16 S 0.426 0.913 0.745
17 S 0.487 0.574 0.745
18 S 0.513 0.426 0.245
19 S 0.574 0.087 0.245
20 S 0.667 0.333 0.679
21 S 0.747 0.904 0.479
22 S 0.843 0.747 0.979
23 S 0.904 0.157 0.979
24 S 0.913 0.487 0.245

Record 7
A relaxed CaMg14MnO16 crystal, computed with GGA-PBEsol.

Output
As for the symmetry: P4/mmm. The value obtained for the uncorrected energy is -203.99 eV per formula unit. The formation energy (no corrections) comes out at -2.627 eV/atom. Its energy above the most stable polymorph in this dataset is 0.0000 eV/atom. The mass density comes out at 3.7 g/cm³.

Cell lengths 8.542, 8.542, 4.293 Å; angles 90.00, 90.00, 90.00 degrees
Element x y z (fractional)
1 Ca 0.000 0.000 0.000
2 Mg 0.000 0.255 0.500
3 Mg 0.000 0.500 0.000
4 Mg 0.000 0.745 0.500
5 Mg 0.249 0.500 0.500
6 Mg 0.253 0.253 0.000
7 Mg 0.253 0.747 0.000
8 Mg 0.255 0.000 0.500
9 Mg 0.500 0.000 0.000
10 Mg 0.500 0.249 0.500
11 Mg 0.500 0.751 0.500
12 Mg 0.745 0.000 0.500
13 Mg 0.747 0.253 0.000
14 Mg 0.747 0.747 0.000
15 Mg 0.751 0.500 0.500
16 Mn 0.500 0.500 0.000
17 O 0.000 0.000 0.500
18 O 0.000 0.263 0.000
19 O 0.000 0.500 0.500
20 O 0.000 0.737 0.000
21 O 0.246 0.500 0.000
22 O 0.250 0.250 0.500
23 O 0.250 0.750 0.500
24 O 0.263 0.000 0.000
25 O 0.500 0.000 0.500
26 O 0.500 0.246 0.000
27 O 0.500 0.500 0.500
28 O 0.500 0.754 0.000
29 O 0.737 0.000 0.000
30 O 0.750 0.250 0.500
31 O 0.750 0.750 0.500
32 O 0.754 0.500 0.000

Record 8
A relaxed AgBiTe2 crystal, computed with GGA-PBEsol.

Output
As for the symmetry: I-42d. The value obtained for the uncorrected energy is -14.59 eV per formula unit. The formation energy (no corrections) comes out at 0.015 eV/atom. The mass density comes out at 6.4 g/cm³.

Cell lengths 6.639, 6.639, 13.404 Å; angles 90.00, 90.00, 90.00 degrees
Element x y z (fractional)
1 Ag 0.000 0.000 0.000
2 Ag 0.000 0.500 0.250
3 Ag 0.500 0.000 0.750
4 Ag 0.500 0.500 0.500
5 Bi 0.000 0.000 0.500
6 Bi 0.000 0.500 0.750
7 Bi 0.500 0.000 0.250
8 Bi 0.500 0.500 0.000
9 Te 0.214 0.250 0.125
10 Te 0.250 0.714 0.375
11 Te 0.250 0.786 0.875
12 Te 0.286 0.250 0.625
13 Te 0.714 0.750 0.625
14 Te 0.750 0.214 0.875
15 Te 0.750 0.286 0.375
16 Te 0.786 0.750 0.125

Which formula does entry 5 have?
CaRe3H9S4O6

Which formula does entry 3 have?
YTl2

The highest uncorrected energy belongs to which entry?
YTl2